! PBE-GGA Ba2BiSbTe5, relaxed; values from VASP
! Electronic total energy = -3.9077 eV per atom
! Size of the total moment = 0.000 μB per atom
! Calculated density = 5.91 g/cm3
! Symmetry = Cmc2_1, No. 36
&SYSTEM
  ibrav = 0, nat = 18, ntyp = 4
/
ATOMIC_SPECIES
Te 127.60 Te.upf
Ba 137.33 Ba.upf
Sb 121.76 Sb.upf
Bi 208.98 Bi.upf
CELL_PARAMETERS angstrom
-0.645 0.229 -4.708
-8.842 -4.289 3.407
-5.848 13.203 1.444
ATOMIC_POSITIONS angstrom
Te -11.742 3.963 -0.601
Te -8.711 10.163 -0.715
Te -8.980 6.518 1.548
Te -1.979 3.433 -1.965
Te -5.657 5.528 -1.359
Te -8.076 2.258 1.217
Te -13.434 5.887 2.128
Te -1.492 0.437 0.226
Te -5.403 0.476 -1.640
Te -12.535 10.066 2.208
Ba -5.901 8.049 1.200
Ba -8.577 -0.841 -1.269
Ba -11.803 7.733 -0.409
Ba -4.231 2.988 0.725
Sb -10.955 2.112 1.605
Sb -6.691 12.249 -0.891
Bi -4.101 -1.460 0.491
Bi -8.610 4.680 -0.996